i.
Entry from the Alexandria database: an optimized crystal structure of MgTlPb3 (PBE).

Geometry as CIF:
```
data_MgTlPb3
_chemical_formula_sum 'Mg4 Tl4 Pb12'
_symmetry_space_group_name_H-M 'C m c m'
_symmetry_Int_Tables_number 63
_symmetry_space_group_name_Hall '-C 2c 2'
_cell_length_a 6.631
_cell_length_b 15.326
_cell_length_c 6.248
_cell_angle_alpha 90.00
_cell_angle_beta 90.00
_cell_angle_gamma 90.00
loop_
_atom_site_label
_atom_site_type_symbol
_atom_site_fract_x
_atom_site_fract_y
_atom_site_fract_z
Mg1 Mg 0.000 0.168 0.250
Tl1 Tl 0.000 0.399 0.750
Pb1 Pb 0.000 0.000 0.000
Pb2 Pb 0.245 0.170 0.750
```

## Properties
Calculated volume ... 634.99 Å³/cell



ii.
Entry from the Alexandria database: an optimized crystal structure of MgTlPb3 (PBE).

Geometry as CIF:
```
data_MgTlPb3
_chemical_formula_sum 'Mg4 Tl4 Pb12'
_symmetry_space_group_name_H-M 'I -4 m 2'
_symmetry_Int_Tables_number 119
_symmetry_space_group_name_Hall 'I -4 -2'
_cell_length_a 6.286
_cell_length_b 6.286
_cell_length_c 19.953
_cell_angle_alpha 90.00
_cell_angle_beta 90.00
_cell_angle_gamma 90.00
loop_
_atom_site_label
_atom_site_type_symbol
_atom_site_fract_x
_atom_site_fract_y
_atom_site_fract_z
Mg1 Mg 0.000 0.000 0.000
Mg2 Mg 0.000 0.500 0.250
Tl1 Tl 0.000 0.000 0.412
Pb1 Pb 0.000 0.249 0.126
Pb2 Pb 0.000 0.500 0.519
```

## Properties
Calculated volume ... 788.50 Å³/cell



iii.
Entry from the Alexandria database: an optimized crystal structure of MgTlPb3 (PBE).

Geometry as CIF:
```
data_MgTlPb3
_chemical_formula_sum 'Mg1 Tl1 Pb3'
_symmetry_space_group_name_H-M 'P m -3 m'
_symmetry_Int_Tables_number 221
_symmetry_space_group_name_Hall '-P 4 2 3'
_cell_length_a 5.583
_cell_length_b 5.583
_cell_length_c 5.583
_cell_angle_alpha 90.00
_cell_angle_beta 90.00
_cell_angle_gamma 90.00
loop_
_atom_site_label
_atom_site_type_symbol
_atom_site_fract_x
_atom_site_fract_y
_atom_site_fract_z
Mg1 Mg 0.000 0.000 0.000
Tl1 Tl 0.500 0.500 0.500
Pb1 Pb 0.000 0.000 0.500
```

## Properties
Calculated volume ... 174.04 Å³/cell



Energies, relative to the best one, in meV/atom: i 0; ii 142; iii 208.



i.
Entry from the Alexandria database: an optimized crystal structure of Mg8Tl3Pb2 (PBE).

Geometry as CIF:
```
data_Mg8Tl3Pb2
_chemical_formula_sum 'Mg16 Tl6 Pb4'
_symmetry_space_group_name_H-M 'C 1 2/m 1'
_symmetry_Int_Tables_number 12
_symmetry_space_group_name_Hall '-C 2y'
_cell_length_a 15.670
_cell_length_b 8.244
_cell_length_c 5.908
_cell_angle_alpha 90.00
_cell_angle_beta 106.22
_cell_angle_gamma 90.00
loop_
_atom_site_label
_atom_site_type_symbol
_atom_site_fract_x
_atom_site_fract_y
_atom_site_fract_z
Mg1 Mg 0.138 0.000 0.449
Mg2 Mg 0.153 0.183 0.942
Mg3 Mg 0.164 0.500 0.656
Tl1 Tl 0.000 0.000 0.000
Tl2 Tl 0.000 0.274 0.500
Pb1 Pb 0.187 0.500 0.183
```

## Properties
Calculated volume ... 732.85 Å³/cell



ii.
Entry from the Alexandria database: an optimized crystal structure of Mg8Tl3Pb2 (PBE).

Geometry as CIF:
```
data_Mg8Tl3Pb2
_chemical_formula_sum 'Mg16 Tl6 Pb4'
_symmetry_space_group_name_H-M 'C 1 2/m 1'
_symmetry_Int_Tables_number 12
_symmetry_space_group_name_Hall '-C 2y'
_cell_length_a 12.741
_cell_length_b 10.451
_cell_length_c 5.177
_cell_angle_alpha 90.00
_cell_angle_beta 99.33
_cell_angle_gamma 90.00
loop_
_atom_site_label
_atom_site_type_symbol
_atom_site_fract_x
_atom_site_fract_y
_atom_site_fract_z
Mg1 Mg 0.065 0.000 0.283
Mg2 Mg 0.137 0.264 0.073
Mg3 Mg 0.157 0.500 0.593
Tl1 Tl 0.000 0.259 0.500
Tl2 Tl 0.000 0.500 0.000
Pb1 Pb 0.198 0.000 0.841
```

## Properties
Calculated volume ... 680.24 Å³/cell



Energies, relative to the best one, in meV/atom: i 46; ii 0.



i.
Entry from the Alexandria database: an optimized crystal structure of Mg5TlPb3 (PBE).

Geometry as CIF:
```
data_Mg5TlPb3
_chemical_formula_sum 'Mg20 Tl4 Pb12'
_symmetry_space_group_name_H-M 'I 4/m c m'
_symmetry_Int_Tables_number 140
_symmetry_space_group_name_Hall '-I 4 2c'
_cell_length_a 7.488
_cell_length_b 7.488
_cell_length_c 17.472
_cell_angle_alpha 90.00
_cell_angle_beta 90.00
_cell_angle_gamma 90.00
loop_
_atom_site_label
_atom_site_type_symbol
_atom_site_fract_x
_atom_site_fract_y
_atom_site_fract_z
Mg1 Mg 0.000 0.000 0.000
Mg2 Mg 0.226 0.274 0.147
Tl1 Tl 0.000 0.500 0.250
Pb1 Pb 0.000 0.000 0.250
Pb2 Pb 0.140 0.360 0.500
```

## Properties
Calculated volume ... 979.63 Å³/cell



ii.
Entry from the Alexandria database: an optimized crystal structure of Mg5TlPb3 (PBE).

Geometry as CIF:
```
data_Mg5TlPb3
_chemical_formula_sum 'Mg10 Tl2 Pb6'
_symmetry_space_group_name_H-M 'P 63/m c m'
_symmetry_Int_Tables_number 193
_symmetry_space_group_name_Hall '-P 6c 2'
_cell_length_a 9.1508
_cell_length_b 9.1508
_cell_length_c 6.3707
_cell_angle_alpha 90.00
_cell_angle_beta 90.00
_cell_angle_gamma 120.00
loop_
_atom_site_label
_atom_site_type_symbol
_atom_site_fract_x
_atom_site_fract_y
_atom_site_fract_z
Mg1 Mg 0.0000 0.2999 0.2500
Mg2 Mg 0.3333 0.6667 0.0000
Tl1 Tl 0.0000 0.0000 0.0000
Pb1 Pb 0.0000 0.3734 0.7500
```

## Properties
Calculated volume ... 461.99 Å³/cell



Energies, relative to the best one, in meV/atom: i 76; ii 0.



i.
Entry from the Alexandria database: an optimized crystal structure of Mg2Tl3Pb3 (PBE).

Geometry as CIF:
```
data_Mg2Tl3Pb3
_chemical_formula_sum 'Mg2 Tl3 Pb3'
_symmetry_space_group_name_H-M 'P -6 2 m'
_symmetry_Int_Tables_number 189
_symmetry_space_group_name_Hall 'P -6 -2'
_cell_length_a 8.7331
_cell_length_b 8.7331
_cell_length_c 3.5172
_cell_angle_alpha 90.00
_cell_angle_beta 90.00
_cell_angle_gamma 120.00
loop_
_atom_site_label
_atom_site_type_symbol
_atom_site_fract_x
_atom_site_fract_y
_atom_site_fract_z
Mg1 Mg 0.3333 0.6667 0.0000
Tl1 Tl 0.0000 0.2331 0.0000
Pb1 Pb 0.0000 0.5871 0.5000
```

## Properties
Calculated volume ... 232.31 Å³/cell



ii.
Entry from the Alexandria database: an optimized crystal structure of Mg2Tl3Pb3 (PBE).

Geometry as CIF:
```
data_Mg2Tl3Pb3
_chemical_formula_sum 'Mg2 Tl3 Pb3'
_symmetry_space_group_name_H-M 'P -6 2 m'
_symmetry_Int_Tables_number 189
_symmetry_space_group_name_Hall 'P -6 -2'
_cell_length_a 8.7044
_cell_length_b 8.7044
_cell_length_c 3.4757
_cell_angle_alpha 90.00
_cell_angle_beta 90.00
_cell_angle_gamma 120.00
loop_
_atom_site_label
_atom_site_type_symbol
_atom_site_fract_x
_atom_site_fract_y
_atom_site_fract_z
Mg1 Mg 0.3333 0.6667 0.0000
Tl1 Tl 0.0000 0.5924 0.5000
Pb1 Pb 0.0000 0.2249 0.0000
```

## Properties
Calculated volume ... 228.06 Å³/cell



Energies, relative to the best one, in meV/atom: i 0; ii 34.



i.
Entry from the Alexandria database: an optimized crystal structure of MgTlPb (PBE).

Geometry as CIF:
```
data_MgTlPb
_chemical_formula_sum 'Mg2 Tl2 Pb2'
_symmetry_space_group_name_H-M 'I m m 2'
_symmetry_Int_Tables_number 44
_symmetry_space_group_name_Hall 'I 2 -2'
_cell_length_a 3.546
_cell_length_b 4.549
_cell_length_c 10.304
_cell_angle_alpha 90.00
_cell_angle_beta 90.00
_cell_angle_gamma 90.00
loop_
_atom_site_label
_atom_site_type_symbol
_atom_site_fract_x
_atom_site_fract_y
_atom_site_fract_z
Mg1 Mg 0.000 0.000 0.000
Tl1 Tl 0.000 0.000 0.338
Pb1 Pb 0.000 0.000 0.660
```

## Properties
Calculated volume ... 166.22 Å³/cell



ii.
Entry from the Alexandria database: an optimized crystal structure of MgTlPb (PBE).

Geometry as CIF:
```
data_MgTlPb
_chemical_formula_sum 'Mg4 Tl4 Pb4'
_symmetry_space_group_name_H-M 'F -4 3 m'
_symmetry_Int_Tables_number 216
_symmetry_space_group_name_Hall 'F -4 2 3'
_cell_length_a 7.123
_cell_length_b 7.123
_cell_length_c 7.123
_cell_angle_alpha 90.00
_cell_angle_beta 90.00
_cell_angle_gamma 90.00
loop_
_atom_site_label
_atom_site_type_symbol
_atom_site_fract_x
_atom_site_fract_y
_atom_site_fract_z
Mg1 Mg 0.000 0.000 0.000
Tl1 Tl 0.250 0.250 0.250
Pb1 Pb 0.250 0.250 0.750
```

## Properties
Calculated volume ... 361.46 Å³/cell



iii.
Entry from the Alexandria database: an optimized crystal structure of MgTlPb (PBE).

Geometry as CIF:
```
data_MgTlPb
_chemical_formula_sum 'Mg4 Tl4 Pb4'
_symmetry_space_group_name_H-M 'F m m 2'
_symmetry_Int_Tables_number 42
_symmetry_space_group_name_Hall 'F 2 -2'
_cell_length_a 3.847
_cell_length_b 5.614
_cell_length_c 15.673
_cell_angle_alpha 90.00
_cell_angle_beta 90.00
_cell_angle_gamma 90.00
loop_
_atom_site_label
_atom_site_type_symbol
_atom_site_fract_x
_atom_site_fract_y
_atom_site_fract_z
Mg1 Mg 0.000 0.000 0.000
Tl1 Tl 0.000 0.000 0.342
Pb1 Pb 0.000 0.000 0.659
```

## Properties
Calculated volume ... 338.47 Å³/cell



Energies, relative to the best one, in meV/atom: i 0; ii 79; iii 24.



i.
Entry from the Alexandria database: an optimized crystal structure of MgTlPb (PBE).

Geometry as CIF:
```
data_MgTlPb
_chemical_formula_sum 'Mg2 Tl2 Pb2'
_symmetry_space_group_name_H-M 'P -1'
_symmetry_Int_Tables_number 2
_symmetry_space_group_name_Hall '-P 1'
_cell_length_a 3.426
_cell_length_b 5.557
_cell_length_c 9.418
_cell_angle_alpha 85.41
_cell_angle_beta 84.07
_cell_angle_gamma 75.93
loop_
_atom_site_label
_atom_site_type_symbol
_atom_site_fract_x
_atom_site_fract_y
_atom_site_fract_z
Mg1 Mg 0.159 0.222 0.423
Tl1 Tl 0.228 0.244 0.084
Pb1 Pb 0.477 0.688 0.291
```

## Properties
Calculated volume ... 172.71 Å³/cell



ii.
Entry from the Alexandria database: an optimized crystal structure of MgTlPb (PBE).

Geometry as CIF:
```
data_MgTlPb
_chemical_formula_sum 'Mg2 Tl2 Pb2'
_symmetry_space_group_name_H-M 'I 4 m m'
_symmetry_Int_Tables_number 107
_symmetry_space_group_name_Hall 'I 4 -2'
_cell_length_a 3.484
_cell_length_b 3.484
_cell_length_c 13.789
_cell_angle_alpha 90.00
_cell_angle_beta 90.00
_cell_angle_gamma 90.00
loop_
_atom_site_label
_atom_site_type_symbol
_atom_site_fract_x
_atom_site_fract_y
_atom_site_fract_z
Mg1 Mg 0.000 0.000 0.000
Tl1 Tl 0.000 0.000 0.343
Pb1 Pb 0.000 0.000 0.655
```

## Properties
Calculated volume ... 167.36 Å³/cell



iii.
Entry from the Alexandria database: an optimized crystal structure of MgTlPb (PBE).

Geometry as CIF:
```
data_MgTlPb
_chemical_formula_sum 'Mg4 Tl4 Pb4'
_symmetry_space_group_name_H-M 'I 4/m m m'
_symmetry_Int_Tables_number 139
_symmetry_space_group_name_Hall '-I 4 2'
_cell_length_a 3.461
_cell_length_b 3.461
_cell_length_c 28.507
_cell_angle_alpha 90.00
_cell_angle_beta 90.00
_cell_angle_gamma 90.00
loop_
_atom_site_label
_atom_site_type_symbol
_atom_site_fract_x
_atom_site_fract_y
_atom_site_fract_z
Mg1 Mg 0.000 0.000 0.129
Tl1 Tl 0.000 0.000 0.295
Pb1 Pb 0.000 0.000 0.444
```

## Properties
Calculated volume ... 341.52 Å³/cell



iv.
Entry from the Alexandria database: an optimized crystal structure of MgTlPb (PBE).

Geometry as CIF:
```
data_MgTlPb
_chemical_formula_sum 'Mg1 Tl1 Pb1'
_symmetry_space_group_name_H-M 'P 3 m 1'
_symmetry_Int_Tables_number 156
_symmetry_space_group_name_Hall 'P 3 -2"'
_cell_length_a 5.2997
_cell_length_b 5.2997
_cell_length_c 3.4745
_cell_angle_alpha 90.00
_cell_angle_beta 90.00
_cell_angle_gamma 120.00
loop_
_atom_site_label
_atom_site_type_symbol
_atom_site_fract_x
_atom_site_fract_y
_atom_site_fract_z
Mg1 Mg 0.0000 0.0000 0.0000
Tl1 Tl 0.3333 0.6667 0.7476
Pb1 Pb 0.6667 0.3333 0.3204
```

## Properties
Calculated volume ... 84.51 Å³/cell



Energies, relative to the best one, in meV/atom: i 13; ii 0; iii 21; iv 41.



i.
Entry from the Alexandria database: an optimized crystal structure of Mg3Tl2Pb3 (PBE).

Geometry as CIF:
```
data_Mg3Tl2Pb3
_chemical_formula_sum 'Mg9 Tl6 Pb9'
_symmetry_space_group_name_H-M 'R 3 2'
_symmetry_Int_Tables_number 155
_symmetry_space_group_name_Hall 'R 3 2"'
_cell_length_a 8.8799
_cell_length_b 8.8799
_cell_length_c 9.7500
_cell_angle_alpha 90.00
_cell_angle_beta 90.00
_cell_angle_gamma 120.00
loop_
_atom_site_label
_atom_site_type_symbol
_atom_site_fract_x
_atom_site_fract_y
_atom_site_fract_z
Mg1 Mg 0.0000 0.7019 0.0000
Tl1 Tl 0.0000 0.0000 0.1988
Pb1 Pb 0.0000 0.2405 0.5000
```

## Properties
Calculated volume ... 665.82 Å³/cell



ii.
Entry from the Alexandria database: an optimized crystal structure of Mg3Tl2Pb3 (PBE).

Geometry as CIF:
```
data_Mg3Tl2Pb3
_chemical_formula_sum 'Mg6 Tl4 Pb6'
_symmetry_space_group_name_H-M 'I m m m'
_symmetry_Int_Tables_number 71
_symmetry_space_group_name_Hall '-I 2 2'
_cell_length_a 4.355
_cell_length_b 5.070
_cell_length_c 19.866
_cell_angle_alpha 90.00
_cell_angle_beta 90.00
_cell_angle_gamma 90.00
loop_
_atom_site_label
_atom_site_type_symbol
_atom_site_fract_x
_atom_site_fract_y
_atom_site_fract_z
Mg1 Mg 0.000 0.000 0.000
Mg2 Mg 0.000 0.500 0.122
Tl1 Tl 0.000 0.000 0.253
Pb1 Pb 0.000 0.000 0.500
Pb2 Pb 0.000 0.500 0.379
```

## Properties
Calculated volume ... 438.64 Å³/cell



Energies, relative to the best one, in meV/atom: i 26; ii 0.



i.
Entry from the Alexandria database: an optimized crystal structure of Mg5Tl3Pb2 (PBE).

Geometry as CIF:
```
data_Mg5Tl3Pb2
_chemical_formula_sum 'Mg20 Tl12 Pb8'
_symmetry_space_group_name_H-M 'I b a m'
_symmetry_Int_Tables_number 72
_symmetry_space_group_name_Hall '-I 2 2c'
_cell_length_a 11.833
_cell_length_b 14.542
_cell_length_c 6.436
_cell_angle_alpha 90.00
_cell_angle_beta 90.00
_cell_angle_gamma 90.00
loop_
_atom_site_label
_atom_site_type_symbol
_atom_site_fract_x
_atom_site_fract_y
_atom_site_fract_z
Mg1 Mg 0.000 0.000 0.250
Mg2 Mg 0.077 0.334 0.000
Mg3 Mg 0.244 0.500 0.250
Tl1 Tl 0.000 0.500 0.250
Tl2 Tl 0.217 0.168 0.000
Pb1 Pb 0.100 0.164 0.500
```

## Properties
Calculated volume ... 1107.45 Å³/cell



ii.
Entry from the Alexandria database: an optimized crystal structure of Mg5Tl3Pb2 (PBE).

Geometry as CIF:
```
data_Mg5Tl3Pb2
_chemical_formula_sum 'Mg20 Tl12 Pb8'
_symmetry_space_group_name_H-M 'C 1 2/c 1'
_symmetry_Int_Tables_number 15
_symmetry_space_group_name_Hall '-C 2yc'
_cell_length_a 9.277
_cell_length_b 24.183
_cell_length_c 6.473
_cell_angle_alpha 90.00
_cell_angle_beta 133.87
_cell_angle_gamma 90.00
loop_
_atom_site_label
_atom_site_type_symbol
_atom_site_fract_x
_atom_site_fract_y
_atom_site_fract_z
Mg1 Mg 0.000 0.000 0.250
Mg2 Mg 0.000 0.317 0.250
Mg3 Mg 0.000 0.317 0.750
Mg4 Mg 0.239 0.408 0.238
Tl1 Tl 0.000 0.500 0.250
Tl2 Tl 0.108 0.213 0.608
Pb1 Pb 0.210 0.103 0.211
```

## Properties
Calculated volume ... 1046.82 Å³/cell



Energies, relative to the best one, in meV/atom: i 80; ii 0.